A plane-wave DFT calculation with PBE was carried out for an optimized crystal structure of Er2Sc4In.

Properties
Its polymorph energy (0 for the lowest one) is 0 meV per atom. For the density of states at the Fermi level, the calculation gives 20.8 states/eV/cell. As for the crystal system: monoclinic. The value obtained for the formation energy from the elements is 1.5 kJ per mole of atoms. The electronic total energy comes out at -74.2 eV/cell.

Lattice parameters (Å, degrees): 11.3652 6.0796 6.3742 123.53 90.00 90.00
Closest atoms and distances in Å follow each position.
Sites, in units of the cell vectors:
Sc 0.7346 0.7189 0.9042  6 Sc 3.02-3.36, 2 In 3.19-3.35, 1 Er 3.27
Sc 0.8226 0.2548 0.4067  1 In 2.96, 3 Sc 3.02-3.22, 2 Er 3.11-3.15
Sc 0.2346 0.7811 0.0958  6 Sc 3.02-3.36, 2 In 3.19-3.35, 1 Er 3.27
Sc 0.2654 0.2811 0.0958  6 Sc 3.02-3.36, 2 In 3.19-3.35, 1 Er 3.27
Sc 0.1774 0.7452 0.5933  1 In 2.96, 3 Sc 3.02-3.22, 2 Er 3.11-3.15
Sc 0.6774 0.7548 0.4067  1 In 2.96, 3 Sc 3.02-3.22, 2 Er 3.11-3.15
Sc 0.3226 0.2452 0.5933  1 In 2.96, 3 Sc 3.02-3.22, 2 Er 3.11-3.15
Sc 0.7654 0.2189 0.9042  6 Sc 3.02-3.36, 2 In 3.19-3.35, 1 Er 3.27
Er 0.0543 0.3119 0.7037  5 Sc 3.11-3.41, 2 Er 3.39-3.43, 1 In 3.39
Er 0.4457 0.8119 0.7037  5 Sc 3.11-3.41, 2 Er 3.39-3.43, 1 In 3.39
Er 0.5543 0.1881 0.2963  5 Sc 3.11-3.41, 2 Er 3.39-3.43, 1 In 3.39
Er 0.9457 0.6881 0.2963  5 Sc 3.11-3.41, 2 Er 3.39-3.43, 1 In 3.39
In 0.0000 0.0000 0.0000  4 Sc 2.96-3.19
In 0.5000 0.5000 0.0000  4 Sc 2.96-3.19